(1)
First-principles (PBE) data for TaNiH2 after structural relaxation, as listed in the Alexandria database.

a b c (Å): 3.0057 3.0057 14.3306
angles (deg): 90.00 90.00 120.00
Last column: nearest neighbours and their distance in Å.
Space group R-3m (No. 166, hexagonal axes)
Unique sites:
Ta 0.0000 0.0000 0.0000  6 H 1.91
Ni 0.0000 0.0000 0.5000  2 H 1.59
H 0.0000 0.0000 0.3893  1 Ni 1.59

=====

(2)
First-principles (PBE) data for Ta2Ni2H3 after structural relaxation, as listed in the Alexandria database.

a b c (Å): 9.7878 2.8136 4.7976
angles (deg): 90.00 106.29 90.00
Last column: nearest neighbours and their distance in Å.
Space group C2/m (No. 12)
Unique sites:
Ta 0.1079 0.0000 0.3308  5 H 2.08-2.16
Ni 0.1432 0.5000 0.8428  4 H 1.77-1.93
H 0.0000 0.5000 0.0000  2 Ni 1.77
H 0.2483 0.5000 0.2490  3 Ni 1.89-1.93, 3 Ta 2.08-2.11

=====

(3)
First-principles (PBE) data for TaNiH after structural relaxation, as listed in the Alexandria database.

a b c (Å): 4.5191 2.9090 4.6835
angles (deg): 90.00 90.00 90.00
Last column: nearest neighbours and their distance in Å.
Space group Pmma (No. 51)
Unique sites:
Ta 0.2500 0.0000 0.2111  4 H 2.09
Ni 0.2500 0.5000 0.6689  2 H 1.92
H 0.0000 0.5000 0.0000  2 Ni 1.92, 4 Ta 2.09

=====

(4)
First-principles (PBE) data for Ta2NiH3 after structural relaxation, as listed in the Alexandria database.

a b c (Å): 9.3258 4.2895 5.6554
angles (deg): 90.00 107.49 90.00
Last column: nearest neighbours and their distance in Å.
Space group C2/c (No. 15)
Unique sites:
Ta 0.1630 0.0026 0.0809  6 H 2.02-2.15
Ni 0.0000 0.4818 0.7500  1 H 1.71
H 0.0000 0.1199 0.2500  1 Ni 1.71
H 0.1744 0.4960 0.5882  4 Ta 2.02-2.15, 2 Ni 2.09-2.11

=====

no.,total energy (eV per atom),magnetic moment (μB/f.u.)
1,-6.0349,0.00
2,-6.6127,0.00
3,-7.1464,0.00
4,-6.6612,0.00